Here is ZrMnNi2 after structural relaxation from Alexandria. Energies are from PBE-GGA.

Lattice parameters (Å, degrees): 8.6416 8.6416 8.6416 18.82 18.82 18.82
Each line ends with the local moment (μB).
Sites, in units of the cell vectors:
Mn  0.7406  0.7406  0.7406  3.12
Ni  0.9999  0.9999  0.9999  0.60
Ni  0.2569  0.2569  0.2569  -0.13
Zr  0.5026  0.5026  0.5026  -0.12

Values from the calculation:
For the theoretical density, the calculation gives 7.5 g cm⁻³. The value obtained for the total energy is -28.3 eV per formula unit. For the energy of formation, the calculation gives 0.238 eV per atom. The space group is R3m (160).